# PBE+U FePtF2, relaxed
data_FePtF2
_chemical_formula_sum 'Fe3 Pt3 F6'
_space_group_name_H-M_alt 'R -3 m'
_space_group_IT_number 166
_space_group_name_Hall '-R 3 2"'
_cell_length_a 2.7475
_cell_length_b 2.7475
_cell_length_c 28.3816
_cell_angle_alpha 90.00
_cell_angle_beta 90.00
_cell_angle_gamma 120.00
loop_
_atom_site_label
_atom_site_fract_x
_atom_site_fract_y
_atom_site_fract_z
Fe1 0.0000 0.0000 0.0000
Pt1 0.0000 0.0000 0.5000
F1 0.0000 0.0000 0.0619
# DFT total energy: -54.09 eV per cell
# excess energy over the best structure of this formula in the dataset: 0.41 eV per formula unit
# crystal system: trigonal